Density functional theory data (PBE) for a relaxed structure of Ca2AlZn7.

```
Ca2AlZn7
1.0
4.142 0.000 0.000
0.000 4.142 0.000
0.000 0.000 11.204
Ca Al Zn
2 1 7
direct
0.500 0.000 0.751
0.000 0.500 0.249
0.500 0.500 0.000
0.000 0.500 0.862
0.500 0.000 0.361
0.500 0.000 0.138
0.000 0.500 0.639
0.000 0.000 0.500
0.000 0.000 0.000
0.500 0.500 0.500
```

Fermi-level density of states	2.0	states/eV/cell
total DFT energy (no corrections)	-1.916	eV/atom
energy of formation from the pure elements	-0.25	eV per atom

***

Density functional theory data (PBE) for a relaxed structure of BiMo3S.

```
BiMo3S
1.0
4.535 0.000 0.000
0.000 4.535 0.000
0.000 0.000 4.535
S Mo Bi
1 3 1
direct
0.000 0.000 0.000
0.000 0.500 0.000
0.000 0.000 0.500
0.500 0.000 0.000
0.500 0.500 0.500
```

polymorph energy (0 for the lowest one)	0	meV per atom
Fermi-level density of states	5.2	states/eV/cell
total DFT energy (no corrections)	-7.535	eV/atom
uncorrected formation energy	2.83	eV per formula unit

***

Density functional theory data (PBE) for a relaxed structure of TaTi3Cd.

```
TaTi3Cd
1.0
-2.253 -4.109 -0.124
0.846 -0.383 -2.710
8.766 -10.283 4.426
Ta Ti Cd
2 6 2
direct
0.888 0.308 0.573
0.480 0.992 0.482
0.279 0.156 0.183
0.089 0.144 0.872
0.278 0.631 0.683
0.674 0.201 0.288
0.090 0.669 0.372
0.694 0.099 0.767
0.495 0.640 0.966
0.873 0.660 0.088
```

polymorph energy (0 for the lowest one)	0	meV per atom
Fermi-level density of states	12.1	states/eV/cell
total DFT energy (no corrections)	-7.261	eV/atom
energy of formation from the pure elements	0.03	eV per atom

***

Density functional theory data (PBE) for a relaxed structure of PrHg2Pb.

```
PrHg2Pb
1.0
4.777 0.002 0.000
-0.002 4.777 0.000
-2.387 -2.389 4.782
Pr Hg Pb
1 2 1
direct
0.000 0.500 0.000
0.750 0.750 0.500
0.250 0.250 0.500
0.500 0.000 0.000
```

Fermi-level density of states	1.3	states/eV/cell
total DFT energy (no corrections)	-2.670	eV/atom
energy of formation from the pure elements	-0.40	eV per atom

***

Density functional theory data (PBE) for a relaxed structure of AlOsW2.

```
AlOsW2
1.0
-1.900 -3.747 -0.265
1.354 -0.436 -3.538
3.122 -1.682 1.402
Os Al W
1 1 2
direct
0.500 0.000 0.500
0.500 0.500 0.000
0.000 0.000 0.000
0.000 0.500 0.500
```

Fermi-level density of states	3.0	states/eV/cell
total DFT energy (no corrections)	-10.123	eV/atom
energy of formation from the pure elements	0.10	eV per atom

***

Density functional theory data (PBE) for a relaxed structure of Hf2VIn.

```
Hf2VIn
1.0
-2.479 1.879 -1.344
-1.370 -2.783 -1.364
-3.815 -0.932 5.731
V Hf In
1 2 1
direct
0.500 0.500 0.000
0.000 0.000 0.780
0.000 0.000 0.220
0.500 0.500 0.500
```

Fermi-level density of states	4.5	states/eV/cell
total DFT energy (no corrections)	-8.004	eV/atom
energy of formation from the pure elements	-0.06	eV per atom

***

no.,calculated density (g/cm³)
1,4.88
2,9.41
3,8.05
4,11.40
5,15.87
6,10.88